[1]
Density functional theory data (PBE) for a relaxed Ti4MnCo2 crystal.

```
data_Ti4MnCo2
_chemical_formula_sum 'Ti4 Mn1 Co2'
_symmetry_space_group_name_H-M 'P 1'
_symmetry_Int_Tables_number 1
_cell_length_a 5.089
_cell_length_b 5.089
_cell_length_c 5.089
_cell_angle_alpha 109.55
_cell_angle_beta 109.55
_cell_angle_gamma 109.32
loop_
_symmetry_equiv_pos_as_xyz
'x,y,z'
loop_
_atom_site_label
_atom_site_fract_x
_atom_site_fract_y
_atom_site_fract_z
Ti1 0.000 0.000 0.500
Ti2 0.000 0.500 0.000
Ti3 0.500 0.000 0.000
Ti4 0.500 0.500 0.500
Mn1 0.000 0.000 0.000
Co1 0.000 0.500 0.500
Co2 0.500 0.000 0.500
```

Total energy = -8.04 eV per atom
Total moment = 0.0 μB/cell
Space group = I4/mmm, No. 139
Formation energy = -190 meV per atom

***

[2]
Density functional theory data (PBE) for a relaxed Ti2MnCo4 crystal.

```
data_Ti2MnCo4
_chemical_formula_sum 'Ti2 Mn1 Co4'
_symmetry_space_group_name_H-M 'P 1'
_symmetry_Int_Tables_number 1
_cell_length_a 4.969
_cell_length_b 4.969
_cell_length_c 4.969
_cell_angle_alpha 113.63
_cell_angle_beta 113.63
_cell_angle_gamma 101.43
loop_
_symmetry_equiv_pos_as_xyz
'x,y,z'
loop_
_atom_site_label
_atom_site_fract_x
_atom_site_fract_y
_atom_site_fract_z
Ti1 0.000 0.500 0.500
Ti2 0.500 0.000 0.500
Mn1 0.000 0.000 0.000
Co1 0.000 0.000 0.500
Co2 0.000 0.500 0.000
Co3 0.500 0.000 0.000
Co4 0.500 0.500 0.500
```

Total energy = -7.60 eV per atom
Total moment = 5.2 μB/cell
Space group = I4/mmm, No. 139
Formation energy = 24 meV per atom

***

[3]
Density functional theory data (PBE) for a relaxed TiMnCo3 crystal.

```
data_TiMnCo3
_chemical_formula_sum 'Ti2 Mn2 Co6'
_symmetry_space_group_name_H-M 'P 1'
_symmetry_Int_Tables_number 1
_cell_length_a 5.962
_cell_length_b 5.962
_cell_length_c 4.101
_cell_angle_alpha 90.00
_cell_angle_beta 90.00
_cell_angle_gamma 120.00
loop_
_symmetry_equiv_pos_as_xyz
'x,y,z'
loop_
_atom_site_label
_atom_site_fract_x
_atom_site_fract_y
_atom_site_fract_z
Ti1 0.333 0.667 0.250
Ti2 0.667 0.333 0.750
Mn1 0.000 0.000 0.250
Mn2 0.000 0.000 0.750
Co1 0.101 0.408 0.750
Co2 0.307 0.899 0.750
Co3 0.408 0.307 0.250
Co4 0.592 0.693 0.750
Co5 0.693 0.101 0.250
Co6 0.899 0.592 0.250
```

Energy above the most stable polymorph in this dataset = 100 meV/atom
Total energy = -7.33 eV per atom
Total moment = 2.5 μB/cell
Space group = P6_3/m, No. 176
Formation energy = 347 meV per atom

***

[4]
Density functional theory data (PBE) for a relaxed Ti3MnCo2 crystal.

```
data_Ti3MnCo2
_chemical_formula_sum 'Ti3 Mn1 Co2'
_symmetry_space_group_name_H-M 'P 1'
_symmetry_Int_Tables_number 1
_cell_length_a 2.988
_cell_length_b 2.988
_cell_length_c 8.791
_cell_angle_alpha 90.00
_cell_angle_beta 90.00
_cell_angle_gamma 90.00
loop_
_symmetry_equiv_pos_as_xyz
'x,y,z'
loop_
_atom_site_label
_atom_site_fract_x
_atom_site_fract_y
_atom_site_fract_z
Ti1 0.000 0.000 0.000
Ti2 0.000 0.000 0.337
Ti3 0.000 0.000 0.663
Mn1 0.500 0.500 0.500
Co1 0.500 0.500 0.162
Co2 0.500 0.500 0.838
```

Total energy = -8.24 eV per atom
Total moment = 0.0 μB/cell
Space group = P4/mmm, No. 123
Formation energy = -393 meV per atom

***

[5]
Density functional theory data (PBE) for a relaxed Ti2MnCo6 crystal.

```
data_Ti2MnCo6
_chemical_formula_sum 'Ti2 Mn1 Co6'
_symmetry_space_group_name_H-M 'P 1'
_symmetry_Int_Tables_number 1
_cell_length_a 4.890
_cell_length_b 4.890
_cell_length_c 5.418
_cell_angle_alpha 93.79
_cell_angle_beta 93.79
_cell_angle_gamma 58.61
loop_
_symmetry_equiv_pos_as_xyz
'x,y,z'
loop_
_atom_site_label
_atom_site_fract_x
_atom_site_fract_y
_atom_site_fract_z
Ti1 0.170 0.170 0.137
Ti2 0.830 0.830 0.863
Mn1 0.500 0.500 0.000
Co1 0.155 0.681 0.319
Co2 0.318 0.318 0.653
Co3 0.319 0.845 0.681
Co4 0.681 0.155 0.319
Co5 0.682 0.682 0.347
Co6 0.845 0.319 0.681
```

Total energy = -7.59 eV per atom
Total moment = 6.2 μB/cell
Space group = C2/m, No. 12
Formation energy = -81 meV per atom

***

[6]
Density functional theory data (PBE) for a relaxed TiMnCo3 crystal.

```
data_TiMnCo3
_chemical_formula_sum 'Ti2 Mn2 Co6'
_symmetry_space_group_name_H-M 'P 1'
_symmetry_Int_Tables_number 1
_cell_length_a 5.307
_cell_length_b 5.307
_cell_length_c 4.799
_cell_angle_alpha 90.00
_cell_angle_beta 90.00
_cell_angle_gamma 109.30
loop_
_symmetry_equiv_pos_as_xyz
'x,y,z'
loop_
_atom_site_label
_atom_site_fract_x
_atom_site_fract_y
_atom_site_fract_z
Ti1 0.209 0.791 0.750
Ti2 0.791 0.209 0.250
Mn1 0.500 0.500 0.000
Mn2 0.500 0.500 0.500
Co1 0.144 0.235 0.750
Co2 0.235 0.144 0.250
Co3 0.275 0.725 0.250
Co4 0.725 0.275 0.750
Co5 0.765 0.856 0.750
Co6 0.856 0.765 0.250
```

Energy above the most stable polymorph in this dataset = 0 meV/atom
Total energy = -7.43 eV per atom
Total moment = 4.5 μB/cell
Space group = Cmcm, No. 63
Formation energy = 248 meV per atom